# 1
ErZnO3: relaxed, PBE.

Computed properties:
As for the total energy: -31.7 eV per formula unit. As for the symmetry: No. 62. The crystal system is orthorhombic. The value obtained for the total magnetic moment is 0.01 μB per formula unit.

a = 5.2100 Å, b = 5.7406 Å, c = 7.4155 Å
α = 90.00°, β = 90.00°, γ = 90.00°
Positions (direct):
Er 0.9751 0.0871 0.2500
Er 0.5249 0.5871 0.2500
Er 0.4751 0.4129 0.7500
Er 0.0249 0.9129 0.7500
O 0.6919 0.3178 0.0585
O 0.8081 0.8178 0.0585
O 0.1235 0.4592 0.2500
O 0.3765 0.9592 0.2500
O 0.6919 0.3178 0.4415
O 0.8081 0.8178 0.4415
O 0.1919 0.1822 0.5585
O 0.3081 0.6822 0.5585
O 0.6235 0.0408 0.7500
O 0.8765 0.5408 0.7500
O 0.1919 0.1822 0.9415
O 0.3081 0.6822 0.9415
Zn 0.5000 0.0000 0.0000
Zn 0.0000 0.5000 0.0000
Zn 0.5000 0.0000 0.5000
Zn 0.0000 0.5000 0.5000

# 2
Nd2Sm2CI2Cl3: relaxed, PBE.

Computed properties:
As for the energy above the most stable polymorph in this dataset: 0.0253 eV per atom. As for the symmetry: No. 12. The crystal system is monoclinic. The value obtained for the total magnetic moment is 0.13 μB per formula unit.

a = 9.2699 Å, b = 9.2699 Å, c = 8.1821 Å
α = 100.76°, β = 100.76°, γ = 24.52°
Positions (direct):
C 0.5000 0.5000 0.0000
Cl 0.8314 0.8314 0.1669
Cl 0.5000 0.5000 0.5000
Cl 0.1686 0.1686 0.8331
I 0.1663 0.1663 0.3688
I 0.8337 0.8337 0.6312
Nd 0.6414 0.6414 0.0683
Nd 0.3586 0.3586 0.9317
Sm 0.9950 0.9950 0.2081
Sm 0.0050 0.0050 0.7919

# 3
Na4NiGe2Pt: relaxed, PBE.

Computed properties:
As for the total energy: -26.1 eV per formula unit. As for the symmetry: No. 115. The crystal system is tetragonal. The value obtained for the total magnetic moment is 0.01 μB per formula unit.

a = 4.6335 Å, b = 4.6335 Å, c = 6.5670 Å
α = 90.00°, β = 90.00°, γ = 90.00°
Positions (direct):
Ge 0.5000 0.0000 0.2448
Ge 0.0000 0.5000 0.7552
Na 0.5000 0.5000 0.0000
Na 0.0000 0.5000 0.2437
Na 0.0000 0.0000 0.5000
Na 0.5000 0.0000 0.7563
Ni 0.0000 0.0000 0.0000
Pt 0.5000 0.5000 0.5000

# 4
RbHo2Cu3S5: relaxed, PBE.

Computed properties:
As for the total energy: -55.7 eV per formula unit. As for the symmetry: No. 63. The crystal system is orthorhombic. The value obtained for the total magnetic moment is 0.00 μB per formula unit.

a = 3.9313 Å, b = 7.2321 Å, c = 16.4435 Å
α = 90.00°, β = 90.00°, γ = 74.23°
Positions (direct):
Cu 0.0830 0.8340 0.0389
Cu 0.8471 0.3059 0.2500
Cu 0.0830 0.8340 0.4611
Cu 0.9170 0.1660 0.5389
Cu 0.1529 0.6941 0.7500
Cu 0.9170 0.1660 0.9611
Ho 0.3080 0.3840 0.0932
Ho 0.3080 0.3840 0.4068
Ho 0.6920 0.6160 0.5932
Ho 0.6920 0.6160 0.9068
Rb 0.5661 0.8678 0.2500
Rb 0.4339 0.1322 0.7500
S 0.6679 0.6642 0.0694
S 0.9385 0.1231 0.1148
S 0.2607 0.4786 0.2500
S 0.9385 0.1231 0.3852
S 0.6679 0.6642 0.4306
S 0.3321 0.3358 0.5694
S 0.0615 0.8769 0.6148
S 0.7393 0.5214 0.7500
S 0.0615 0.8769 0.8852
S 0.3321 0.3358 0.9306

# 5
La2Pt8N: relaxed, PBE.

Computed properties:
As for the total energy: -73.2 eV per formula unit. As for the symmetry: No. 38. The crystal system is orthorhombic. The value obtained for the total magnetic moment is 0.00 μB per formula unit.

a = 4.3873 Å, b = 8.7560 Å, c = 8.7560 Å
α = 143.59°, β = 90.00°, γ = 90.00°
Positions (direct):
La 0.5000 0.6113 0.3685
La 0.5000 0.3685 0.6113
N 0.0000 0.2449 0.2449
Pt 0.0000 0.9240 0.1257
Pt 0.5000 0.8000 0.1949
Pt 0.0000 0.9887 0.4999
Pt 0.0000 0.6092 0.6092
Pt 0.5000 0.1949 0.8000
Pt 0.0000 0.1257 0.9240
Pt 0.5000 0.9464 0.9464
Pt 0.0000 0.4999 0.9887

# 6
TbSiHg: relaxed, PBE.

Computed properties:
As for the total energy: -11.1 eV per formula unit. As for the symmetry: No. 216. The crystal system is cubic. The value obtained for the total magnetic moment is 0.01 μB per formula unit.

a = 4.6802 Å, b = 4.6802 Å, c = 4.6802 Å
α = 60.00°, β = 60.00°, γ = 60.00°
Positions (direct):
Hg 0.2500 0.2500 0.2500
Si 0.0000 0.0000 0.0000
Tb 0.7500 0.7500 0.7500